[1]
{
  "formula": "RbLaRh2",
  "functional": "SCAN",
  "state": "PBEsol geometry",
  "lattice_angstrom": [[0.0000, 3.5322, 3.5322], [3.5322, 0.0000, 3.5322], [3.5322, 3.5322, 0.0000]],
  "species": ["Rb", "La", "Rh", "Rh"],
  "fractional_positions": [[0.0000, 0.0000, 0.0000], [0.5000, 0.5000, 0.5000], [0.2500, 0.2500, 0.2500], [0.7500, 0.7500, 0.7500]],
  "dos_ef_per_ev_cell": 1.928,
  "delta_e_f_ev_per_atom": 0.314,
  "vol_a3_per_atom": 22.034
}

[2]
{
  "formula": "Sc2ReRh",
  "functional": "SCAN",
  "state": "PBEsol geometry",
  "lattice_angstrom": [[2.8405, 0.0000, 0.0000], [0.0000, 4.5976, 0.0000], [-1.1212, 0.0000, 5.0693]],
  "species": ["Sc", "Sc", "Re", "Rh"],
  "fractional_positions": [[0.0000, 0.0000, 0.0000], [0.2267, 0.5000, 0.6948], [0.6822, 0.5000, 0.2097], [0.5334, 0.0000, 0.4861]],
  "dos_ef_per_ev_cell": 3.477,
  "delta_e_f_ev_per_atom": -0.269,
  "vol_a3_per_atom": 16.551
}

[3]
{
  "formula": "RbCd2Ga2",
  "functional": "SCAN",
  "state": "PBEsol geometry",
  "lattice_angstrom": [[-2.3705, 2.3705, 5.5277], [2.3705, -2.3705, 5.5277], [2.3705, 2.3705, -5.5277]],
  "species": ["Rb", "Cd", "Cd", "Ga", "Ga"],
  "fractional_positions": [[0.0000, 0.0000, 0.0000], [0.2500, 0.7500, 0.5000], [0.7500, 0.2500, 0.5000], [0.3836, 0.3836, 0.0000], [0.6164, 0.6164, 0.0000]],
  "dos_ef_per_ev_cell": 2.734,
  "delta_e_f_ev_per_atom": -0.091,
  "vol_a3_per_atom": 24.849
}

[4]
{
  "formula": "Ca2YMg2",
  "functional": "SCAN",
  "state": "PBEsol geometry",
  "lattice_angstrom": [[-2.3327, 2.3327, 7.3689], [2.3327, -2.3327, 7.3689], [2.3327, 2.3327, -7.3689]],
  "species": ["Ca", "Ca", "Y", "Mg", "Mg"],
  "fractional_positions": [[0.2500, 0.7500, 0.5000], [0.7500, 0.2500, 0.5000], [0.0000, 0.0000, 0.0000], [0.4070, 0.4070, 0.0000], [0.5930, 0.5930, 0.0000]],
  "dos_ef_per_ev_cell": 4.670,
  "delta_e_f_ev_per_atom": 0.210,
  "vol_a3_per_atom": 32.079
}

[5]
{
  "formula": "Sm3Si6Pd20",
  "functional": "SCAN",
  "state": "PBEsol geometry",
  "lattice_angstrom": [[0.0000, 6.0900, 6.0900], [6.0900, 0.0000, 6.0900], [6.0900, 6.0900, 0.0000]],
  "species": ["Sm", "Sm", "Sm", "Si", "Si", "Si", "Si", "Si", "Si", "Pd", "Pd", "Pd", "Pd", "Pd", "Pd", "Pd", "Pd", "Pd", "Pd", "Pd", "Pd", "Pd", "Pd", "Pd", "Pd", "Pd", "Pd", "Pd", "Pd"],
  "fractional_positions": [[0.0000, 0.0000, 0.0000], [0.2500, 0.2500, 0.2500], [0.7500, 0.7500, 0.7500], [0.2672, 0.2672, 0.7328], [0.2672, 0.7328, 0.2672], [0.2672, 0.7328, 0.7328], [0.7328, 0.2672, 0.2672], [0.7328, 0.2672, 0.7328], [0.7328, 0.7328, 0.2672], [0.0000, 0.0000, 0.3467], [0.0000, 0.0000, 0.6533], [0.0000, 0.3467, 0.0000], [0.0000, 0.3467, 0.6533], [0.0000, 0.6533, 0.0000], [0.0000, 0.6533, 0.3467], [0.1532, 0.6156, 0.6156], [0.3467, 0.0000, 0.0000], [0.3467, 0.0000, 0.6533], [0.3467, 0.6533, 0.0000], [0.3844, 0.3844, 0.3844], [0.3844, 0.3844, 0.8468], [0.3844, 0.8468, 0.3844], [0.6156, 0.1532, 0.6156], [0.6156, 0.6156, 0.1532], [0.6156, 0.6156, 0.6156], [0.6533, 0.0000, 0.0000], [0.6533, 0.0000, 0.3467], [0.6533, 0.3467, 0.0000], [0.8468, 0.3844, 0.3844]],
  "e_form_raw_ev_per_atom": -0.887,
  "dos_ef_per_ev_cell": 11.186,
  "vol_a3_per_atom": 15.577
}

[6]
{
  "formula": "CrTc3Ir",
  "functional": "SCAN",
  "state": "PBEsol geometry",
  "lattice_angstrom": [[4.2672, 0.0000, 0.0000], [0.0000, 4.2672, 0.0000], [0.0000, 0.0000, 4.2672]],
  "species": ["Cr", "Tc", "Tc", "Tc", "Ir"],
  "fractional_positions": [[0.0000, 0.0000, 0.0000], [0.0000, 0.0000, 0.5000], [0.0000, 0.5000, 0.0000], [0.5000, 0.0000, 0.0000], [0.5000, 0.5000, 0.5000]],
  "dos_ef_per_ev_cell": 5.056,
  "delta_e_f_ev_per_atom": 1.342,
  "vol_a3_per_atom": 15.541
}

[7]
{
  "formula": "TaSb5",
  "functional": "SCAN",
  "state": "PBEsol geometry",
  "lattice_angstrom": [[0.0000, 4.2440, 4.2440], [4.2440, 0.0000, 4.2440], [4.2440, 4.2440, 0.0000]],
  "species": ["Ta", "Sb", "Sb", "Sb", "Sb", "Sb"],
  "fractional_positions": [[0.0000, 0.0000, 0.0000], [0.3745, 0.3745, 0.3745], [0.3745, 0.3745, 0.8766], [0.3745, 0.8766, 0.3745], [0.7500, 0.7500, 0.7500], [0.8766, 0.3745, 0.3745]],
  "e_form_raw_ev_per_atom": 0.985,
  "dos_ef_per_ev_cell": 4.401,
  "vol_a3_per_atom": 25.481
}

[8]
{
  "formula": "TaSbW2",
  "functional": "SCAN",
  "state": "PBEsol geometry",
  "lattice_angstrom": [[-1.9464, 1.9464, 4.5310], [1.9464, -1.9464, 4.5310], [1.9464, 1.9464, -4.5310]],
  "species": ["Ta", "Sb", "W", "W"],
  "fractional_positions": [[0.0000, 0.0000, 0.0000], [0.5000, 0.5000, 0.0000], [0.2500, 0.7500, 0.5000], [0.7500, 0.2500, 0.5000]],
  "e_form_raw_ev_per_atom": 0.452,
  "dos_ef_per_ev_cell": 2.116,
  "vol_a3_per_atom": 17.166
}